Entry from the Alexandria database: a relaxed structure of Ac4Si3Pd12Pb (PBE). Values from VASP.

The structure in Quantum ESPRESSO input format:
```
&SYSTEM
  ibrav = 0, nat = 20, ntyp = 4
/
ATOMIC_SPECIES
Ac 227.00 Ac.upf
Si 28.09 Si.upf
Pd 106.42 Pd.upf
Pb 207.20 Pb.upf
CELL_PARAMETERS angstrom
-4.824 4.824 4.824
4.824 -4.824 4.824
4.824 4.824 -4.824
ATOMIC_POSITIONS angstrom
Ac 2.412 2.412 -2.412
Ac 2.412 -2.412 2.412
Ac -2.412 2.412 2.412
Ac 2.412 2.412 2.412
Si 4.824 0.000 0.000
Si 0.000 4.824 0.000
Si 0.000 0.000 4.824
Pd 2.602 0.000 0.000
Pd 7.046 0.000 0.000
Pd 4.824 2.412 0.000
Pd 4.824 0.000 2.412
Pd 0.000 2.602 0.000
Pd 0.000 0.000 2.602
Pd 2.412 4.824 0.000
Pd 2.412 0.000 4.824
Pd 0.000 7.046 0.000
Pd 0.000 0.000 7.046
Pd 0.000 4.824 2.412
Pd 0.000 2.412 4.824
Pb 0.000 0.000 0.000
```

Results
**E**: -110.52 eV per cell
**Symmetry**: Im-3m
**Formation energy without anion corrections**: -0.590 eV per atom



Entry from the Alexandria database: a relaxed structure of Sm2Re2B2C (PBE). Values from VASP.

The structure in Quantum ESPRESSO input format:
```
&SYSTEM
  ibrav = 0, nat = 7, ntyp = 4
/
ATOMIC_SPECIES
Sm 150.36 Sm.upf
Re 186.21 Re.upf
B 10.81 B.upf
C 12.01 C.upf
CELL_PARAMETERS angstrom
5.490 -1.831 0.000
5.490 1.831 0.000
-3.873 0.000 5.589
ATOMIC_POSITIONS angstrom
Sm -0.466 0.000 1.838
Sm 7.573 0.000 3.750
Re -0.259 0.000 5.080
Re 7.366 0.000 0.509
B 2.523 0.000 1.457
B 4.584 0.000 4.132
C 5.490 0.000 0.000
```

Results
**E**: -59.42 eV per cell
**Symmetry**: C2/m
**DFT formation energy**: -2.50 eV per formula unit



Entry from the Alexandria database: a relaxed structure of Ce12CdOs6 (PBE). Values from VASP.

The structure in Quantum ESPRESSO input format:
```
&SYSTEM
  ibrav = 0, nat = 19, ntyp = 3
/
ATOMIC_SPECIES
Ce 140.12 Ce.upf
Cd 112.41 Cd.upf
Os 190.23 Os.upf
CELL_PARAMETERS angstrom
6.826 3.941 3.110
-6.826 3.941 3.110
0.000 -7.882 3.110
ATOMIC_POSITIONS angstrom
Ce -2.598 -3.381 3.110
Ce -4.227 -0.560 3.110
Ce 0.000 -2.084 1.530
Ce -1.805 1.042 1.530
Ce 1.805 1.042 1.530
Ce -4.227 0.560 6.220
Ce -1.629 3.941 3.110
Ce -2.598 3.381 6.220
Ce 1.629 3.941 3.110
Ce -1.805 -1.042 7.800
Ce 1.805 -1.042 7.800
Ce 0.000 2.084 7.800
Cd 0.000 0.000 4.665
Os -3.944 -2.277 5.348
Os 0.000 -4.554 3.981
Os -3.943 2.277 3.981
Os 3.944 -2.277 5.348
Os 0.000 4.554 5.348
Os 3.944 2.277 3.981
```

Results
**E**: -139.50 eV per cell
**Symmetry**: R-3m
**DFT formation energy**: 0.00 eV per formula unit



Entry from the Alexandria database: a relaxed structure of Rb3PmTh2Te6 (PBE). Values from VASP.

The structure in Quantum ESPRESSO input format:
```
&SYSTEM
  ibrav = 0, nat = 12, ntyp = 4
/
ATOMIC_SPECIES
Rb 85.47 Rb.upf
Pm 145.00 Pm.upf
Th 232.04 Th.upf
Te 127.60 Te.upf
CELL_PARAMETERS angstrom
3.930 -6.806 0.000
3.930 6.806 0.000
-2.620 0.000 8.730
ATOMIC_POSITIONS angstrom
Rb 0.000 0.000 0.000
Rb 3.930 2.262 0.000
Rb 3.930 -2.262 0.000
Pm 2.620 0.000 4.365
Th 2.620 4.538 4.365
Th 2.620 -4.538 4.365
Te 1.302 2.284 2.542
Te -0.017 0.000 6.189
Te 1.302 -2.284 2.542
Te 3.939 2.284 6.189
Te 5.257 0.000 2.542
Te 3.939 -2.284 6.189
```

Results
**E**: -56.25 eV per cell
**Symmetry**: C2/m
**Formation energy without anion corrections**: -1.242 eV per atom



How do the records compare in mass density? In the order shown, they have 9.16 10.45 9.71 5.80 g/cm3.
How do the records compare in magnetic moment? In the order shown, they have 0.0 0.0 6.6 0.0 Bohr magnetons per cell.